Below is Pr3RuBr after structural relaxation, with properties calculated at the GGA-PBE level.

Properties
- space-group type = Pmmn (59)
- magnetization (μB per atom) = 0.000
- energy relative to the elements, uncorrected (meV/atom) = -540

a b c (Å): 3.905 9.756 8.416
angles (deg): 90.00 90.00 90.00
Element x y z (fractional)
Pr  0.250  0.425  0.159
Pr  0.750  0.575  0.841
Pr  0.250  0.075  0.159
Pr  0.750  0.925  0.841
Pr  0.250  0.250  0.744
Pr  0.750  0.750  0.256
Ru  0.750  0.250  0.975
Ru  0.250  0.750  0.025
Br  0.750  0.250  0.433
Br  0.250  0.750  0.567


Below is Pr2Ru2Br after structural relaxation, with properties calculated at the GGA-PBE level.

Properties
- space-group type = C2/m (12)
- magnetization (μB per atom) = 0.000
- energy relative to the elements, uncorrected (meV/atom) = -653

a b c (Å): 4.330 4.330 8.787
angles (deg): 89.94 103.77 121.29
Element x y z (fractional)
Pr  0.855  0.422  0.277
Pr  0.145  0.578  0.723
Ru  0.343  0.163  0.506
Ru  0.657  0.837  0.494
Br  0.000  0.000  0.000


Below is Pr2RuBr after structural relaxation, with properties calculated at the GGA-PBE level.

Properties
- space-group type = R-3m (166)
- magnetization (μB per atom) = 0.000
- energy relative to the elements, uncorrected (meV/atom) = -738

a b c (Å): 4.135 4.135 8.245
angles (deg): 89.99 104.53 120.00
Element x y z (fractional)
Pr  0.535  0.268  0.803
Pr  0.465  0.732  0.197
Ru  0.000  0.000  0.000
Br  0.000  0.500  0.500


Below is Pr3RuBr2 after structural relaxation, with properties calculated at the GGA-PBE level.

Properties
- space-group type = Immm (71)
- magnetization (μB per atom) = 0.000
- energy relative to the elements, uncorrected (meV/atom) = -914

a b c (Å): 4.001 6.029 8.264
angles (deg): 111.39 104.01 90.00
Element x y z (fractional)
Pr  0.628  0.628  0.256
Pr  0.000  0.000  0.000
Pr  0.372  0.372  0.744
Ru  0.000  0.500  0.000
Br  0.319  0.819  0.638
Br  0.681  0.181  0.362